# Pu2OsAu

An optimized crystal structure of Pu2OsAu (PBE-GGA, Alexandria via LeMat-Bulk).

Structure (POSCAR):
```
Pu2OsAu
1.0
3.255 0.000 0.000
0.000 3.255 0.000
0.000 0.000 8.067
Os Au Pu
1 1 2
Direct
0.500 0.500 0.000
0.500 0.500 0.500
0.000 0.000 0.778
0.000 0.000 0.222
```

Properties
Formation energy from the elements (eV/atom): -0.249
Space-group type: P4/mmm (123)
DFT total energy (eV per cell): -44.17